The following is a PBE-GGA calculation of crystalline NdCdInPt at its relaxed geometry, from the Alexandria database.

## Properties
Fermi-level density of states (states/eV/f.u.): 2.2
Energy of formation (meV/atom): -578.6
Volume (Å³ per cell): 89.6

Lattice parameters (Å, degrees): 5.022 5.022 5.022 60.00 60.00 60.00
Atoms (fractional coordinates):
1 Cd 0.000 0.000 0.000
2 Nd 0.750 0.750 0.750
3 Pt 0.500 0.500 0.500
4 In 0.250 0.250 0.250